(1)
## Pr6Si2HCl3 (PBE)

Data for an optimized crystal structure of Pr6Si2HCl3.

Lattice parameters (Å, degrees): 7.1272 7.1272 7.4635 99.47 99.47 119.87
With the nearest neighbours (Å) after each atom.
Fractional positions:
1 Pr 0.9280 0.6036 0.7804  1 H 2.77, 2 Si 2.88-2.89, 3 Cl 2.99-3.09
2 Pr 0.7461 0.7461 0.2388  2 Si 2.88, 1 H 2.93, 3 Cl 3.02-3.15
3 Pr 0.0720 0.3964 0.2196  1 H 2.77, 2 Si 2.88-2.89, 3 Cl 2.99-3.09
4 Pr 0.6036 0.9280 0.7804  1 H 2.77, 2 Si 2.88-2.89, 3 Cl 2.99-3.09
5 Pr 0.2539 0.2539 0.7612  2 Si 2.88, 1 H 2.93, 3 Cl 3.02-3.15
6 Pr 0.3964 0.0720 0.2196  1 H 2.77, 2 Si 2.88-2.89, 3 Cl 2.99-3.09
7 Si 0.3359 0.6641 0.0000  6 Pr 2.88-2.89
8 Si 0.6641 0.3359 0.0000  6 Pr 2.88-2.89
9 H 0.0000 0.0000 0.0000  6 Pr 2.77-2.93
10 Cl 0.1843 0.8157 0.5000  6 Pr 2.99-3.15
11 Cl 0.8157 0.1843 0.5000  6 Pr 2.99-3.15
12 Cl 0.5000 0.5000 0.5000  6 Pr 3.02-3.06

Calculated values
* volume: 310 Å³ per cell
* total moment: 1.0 μB/f.u.
* E_tot: -5.076 eV per atom

---

(2)
## SrTl3Ag (PBE)

Data for an optimized crystal structure of SrTl3Ag.

Lattice parameters (Å, degrees): 5.5472 5.5472 5.5472 90.00 90.00 90.00
With the nearest neighbours (Å) after each atom.
Fractional positions:
1 Sr 0.5000 0.5000 0.5000  12 Tl 3.92
2 Tl 0.0000 0.5000 0.0000  2 Ag 2.77
3 Tl 0.0000 0.0000 0.5000  2 Ag 2.77
4 Tl 0.5000 0.0000 0.0000  2 Ag 2.77
5 Ag 0.0000 0.0000 0.0000  6 Tl 2.77

Calculated values
* volume: 171 Å³ per cell
* total moment: 0.0 μB/f.u.
* DFT formation energy: 0.03 eV/atom

---

(3)
## Sm3Cu5F12 (PBE)

Data for an optimized crystal structure of Sm3Cu5F12.

Lattice parameters (Å, degrees): 11.5184 11.5184 11.5184 109.47 109.47 109.47
With the nearest neighbours (Å) after each atom.
Fractional positions:
1 Sm 0.7500 0.3750 0.1250  8 F 2.38-2.45
2 Sm 0.8750 0.7500 0.1250  8 F 2.38-2.45
3 Sm 0.3750 0.7500 0.6250  8 F 2.38-2.45
4 Sm 0.2500 0.1250 0.3750  8 F 2.38-2.45
5 Sm 0.8750 0.1250 0.2500  8 F 2.38-2.45
6 Sm 0.3750 0.6250 0.2500  8 F 2.38-2.45
7 Sm 0.6250 0.3750 0.7500  8 F 2.38-2.45
8 Sm 0.1250 0.8750 0.7500  8 F 2.38-2.45
9 Sm 0.7500 0.8750 0.6250  8 F 2.38-2.45
10 Sm 0.6250 0.2500 0.3750  8 F 2.38-2.45
11 Sm 0.1250 0.2500 0.8750  8 F 2.38-2.45
12 Sm 0.2500 0.6250 0.8750  8 F 2.38-2.45
13 Cu 0.1250 0.3750 0.2500  4 F 2.19
14 Cu 0.0000 0.5000 0.0000  6 F 2.27
15 Cu 0.0000 0.0000 0.0000  6 F 2.27
16 Cu 0.3750 0.2500 0.1250  4 F 2.19
17 Cu 0.5000 0.0000 0.5000  6 F 2.27
18 Cu 0.5000 0.5000 0.0000  6 F 2.27
19 Cu 0.1250 0.7500 0.3750  4 F 2.19
20 Cu 0.7500 0.1250 0.8750  4 F 2.19
21 Cu 0.7500 0.6250 0.3750  4 F 2.19
22 Cu 0.3750 0.1250 0.7500  4 F 2.19
23 Cu 0.6250 0.8750 0.2500  4 F 2.19
24 Cu 0.5000 0.5000 0.5000  6 F 2.27
25 Cu 0.5000 0.0000 0.0000  6 F 2.27
26 Cu 0.0000 0.0000 0.5000  6 F 2.27
27 Cu 0.2500 0.3750 0.6250  4 F 2.19
28 Cu 0.2500 0.8750 0.1250  4 F 2.19
29 Cu 0.0000 0.5000 0.5000  6 F 2.27
30 Cu 0.8750 0.2500 0.6250  4 F 2.19
31 Cu 0.6250 0.7500 0.8750  4 F 2.19
32 Cu 0.8750 0.6250 0.7500  4 F 2.19
33 F 0.7272 0.1397 0.0600  2 Cu 2.19-2.27, 2 Sm 2.38-2.45
34 F 0.3329 0.5600 0.4204  2 Cu 2.19-2.27, 2 Sm 2.38-2.45
35 F 0.9400 0.3603 0.2728  2 Cu 2.19-2.27, 2 Sm 2.38-2.45
36 F 0.5600 0.2272 0.1397  2 Cu 2.19-2.27, 2 Sm 2.38-2.45
37 F 0.5875 0.7272 0.6671  2 Cu 2.19-2.27, 2 Sm 2.38-2.45
38 F 0.9400 0.5796 0.1671  2 Cu 2.19-2.27, 2 Sm 2.38-2.45
39 F 0.3329 0.7728 0.4125  2 Cu 2.19-2.27, 2 Sm 2.38-2.45
40 F 0.0796 0.9125 0.1397  2 Cu 2.19-2.27, 2 Sm 2.38-2.45
41 F 0.5796 0.9400 0.6671  2 Cu 2.19-2.27, 2 Sm 2.38-2.45
42 F 0.7272 0.5875 0.1671  2 Cu 2.19-2.27, 2 Sm 2.38-2.45
43 F 0.7728 0.4400 0.3603  2 Cu 2.19-2.27, 2 Sm 2.38-2.45
44 F 0.8329 0.9204 0.0600  2 Cu 2.19-2.27, 2 Sm 2.38-2.45
45 F 0.1397 0.7272 0.5600  2 Cu 2.19-2.27, 2 Sm 2.38-2.45
46 F 0.3603 0.4204 0.0875  2 Cu 2.19-2.27, 2 Sm 2.38-2.45
47 F 0.0875 0.9204 0.3603  2 Cu 2.19-2.27, 2 Sm 2.38-2.45
48 F 0.4125 0.1397 0.5796  2 Cu 2.19-2.27, 2 Sm 2.38-2.45
49 F 0.0875 0.1671 0.2272  2 Cu 2.19-2.27, 2 Sm 2.38-2.45
50 F 0.4400 0.6671 0.0796  2 Cu 2.19-2.27, 2 Sm 2.38-2.45
51 F 0.8329 0.9125 0.2728  2 Cu 2.19-2.27, 2 Sm 2.38-2.45
52 F 0.1397 0.4125 0.0796  2 Cu 2.19-2.27, 2 Sm 2.38-2.45
53 F 0.3603 0.9400 0.7728  2 Cu 2.19-2.27, 2 Sm 2.38-2.45
54 F 0.5796 0.6397 0.4125  2 Cu 2.19-2.27, 2 Sm 2.38-2.45
55 F 0.9204 0.8329 0.5600  2 Cu 2.19-2.27, 2 Sm 2.38-2.45
56 F 0.7728 0.3329 0.9125  2 Cu 2.19-2.27, 2 Sm 2.38-2.45
57 F 0.4204 0.3603 0.5875  2 Cu 2.19-2.27, 2 Sm 2.38-2.45
58 F 0.0796 0.1671 0.4400  2 Cu 2.19-2.27, 2 Sm 2.38-2.45
59 F 0.2272 0.6671 0.0875  2 Cu 2.19-2.27, 2 Sm 2.38-2.45
60 F 0.1671 0.0875 0.7272  2 Cu 2.19-2.27, 2 Sm 2.38-2.45
61 F 0.6397 0.0600 0.2272  2 Cu 2.19-2.27, 2 Sm 2.38-2.45
62 F 0.8603 0.5875 0.9204  2 Cu 2.19-2.27, 2 Sm 2.38-2.45
63 F 0.5600 0.3329 0.9204  2 Cu 2.19-2.27, 2 Sm 2.38-2.45
64 F 0.5875 0.8603 0.4204  2 Cu 2.19-2.27, 2 Sm 2.38-2.45
65 F 0.9125 0.8329 0.7728  2 Cu 2.19-2.27, 2 Sm 2.38-2.45
66 F 0.9125 0.0796 0.6397  2 Cu 2.19-2.27, 2 Sm 2.38-2.45
67 F 0.8603 0.2728 0.4400  2 Cu 2.19-2.27, 2 Sm 2.38-2.45
68 F 0.1671 0.0796 0.9400  2 Cu 2.19-2.27, 2 Sm 2.38-2.45
69 F 0.6397 0.5796 0.9125  2 Cu 2.19-2.27, 2 Sm 2.38-2.45
70 F 0.4204 0.0600 0.3329  2 Cu 2.19-2.27, 2 Sm 2.38-2.45
71 F 0.2728 0.4125 0.8329  2 Cu 2.19-2.27, 2 Sm 2.38-2.45
72 F 0.2272 0.5600 0.6397  2 Cu 2.19-2.27, 2 Sm 2.38-2.45
73 F 0.9204 0.0875 0.8603  2 Cu 2.19-2.27, 2 Sm 2.38-2.45
74 F 0.6671 0.2272 0.5875  2 Cu 2.19-2.27, 2 Sm 2.38-2.45
75 F 0.4400 0.7728 0.8603  2 Cu 2.19-2.27, 2 Sm 2.38-2.45
76 F 0.0600 0.4204 0.8329  2 Cu 2.19-2.27, 2 Sm 2.38-2.45
77 F 0.4125 0.2728 0.3329  2 Cu 2.19-2.27, 2 Sm 2.38-2.45
78 F 0.0600 0.6397 0.7272  2 Cu 2.19-2.27, 2 Sm 2.38-2.45
79 F 0.6671 0.4400 0.5796  2 Cu 2.19-2.27, 2 Sm 2.38-2.45
80 F 0.2728 0.8603 0.9400  2 Cu 2.19-2.27, 2 Sm 2.38-2.45

Calculated values
* volume: 1176 Å³ per cell
* total moment: 0.0 μB/f.u.
* energy relative to the elements, uncorrected: -2.292 eV/atom

---

(4)
## NiSeS2N (PBE)

Data for an optimized crystal structure of NiSeS2N.

Lattice parameters (Å, degrees): 4.8499 4.8499 3.6150 90.00 90.00 90.00
With the nearest neighbours (Å) after each atom.
Fractional positions:
1 Ni 0.5000 0.5000 0.5000  8 S 3.02
2 S 0.0000 0.5000 0.0000  2 Se 2.42
3 S 0.5000 0.0000 0.0000  2 Se 2.42
4 Se 0.0000 0.0000 0.0000  2 N 1.81
5 N 0.0000 0.0000 0.5000  2 Se 1.81

Calculated values
* volume: 85 Å³ per cell
* total moment: 2.3 μB/f.u.
* energy relative to the elements, uncorrected: 1.382 eV/atom

---

> Which value of total moment does entry 2 give?

0.0 μB/f.u.